Computed, not measured: crystalline KZnSn at its relaxed geometry at the PBE-GGA level of DFT.

Properties
- formation energy from the elements (meV per atom) = -109
- offset from the most stable computed form (eV per atom) = 0.000
- total magnetic moment (μB/cell) = 0.00

```
KZnSn
1.0
-1.5387 2.6340 3.7972
-5.3346 -5.8389 1.8886
5.8267 -3.7241 4.9446
Zn K Sn
4 4 4
Cartesian
-2.3878 -2.7017 5.5924
-1.1710 -6.4207 8.6653
1.3411 -4.2273 5.0379
0.1243 -0.5083 1.9650
1.8228 -6.9362 7.1121
0.9121 -0.9045 5.6830
-1.9589 -6.0245 4.9473
-2.8695 0.0071 3.5181
-0.4126 -3.9667 7.2704
-5.0196 -3.9584 5.3977
3.9728 -2.9706 5.2326
-0.6342 -2.9623 3.3599
```